Entry 1:
The following is a GGA-PBE calculation of crystalline LaTb2HoTm5 at its relaxed geometry, from Alexandria.

Computed properties:
The crystal system is tetragonal. The calculated volume comes out at 288.7 Å³/f.u. Its formation energy is 0.280 eV per atom.

Cell lengths 9.6747, 9.6747, 9.6747 Å; angles 125.61, 125.61, 80.53 degrees
Last column: nearest neighbours and their distance in Å.
Positions (direct):
La (0.2500, 0.2500, 0.0000)  10 Tm 3.62-3.69
La (0.7500, 0.7500, 0.0000)  10 Tm 3.62-3.69
Tb (0.1136, 0.6136, 0.7273)  1 Tb 2.84, 2 Tm 2.98
Tb (0.3864, 0.1136, 0.5000)  1 Tb 2.84, 2 Tm 2.98
Tb (0.6136, 0.8864, 0.5000)  1 Tb 2.84, 2 Tm 2.98
Tb (0.8864, 0.3864, 0.2727)  1 Tb 2.84, 2 Tm 2.98
Ho (0.2500, 0.7500, 0.5000)  4 Tm 3.11
Ho (0.7500, 0.2500, 0.5000)  4 Tm 3.11
Tm (0.0000, 0.0000, 0.0000)  4 Tb 3.56, 2 La 3.69, 8 Tm 3.72
Tm (0.0740, 0.1623, 0.5000)  1 Tb 2.98, 1 Ho 3.11
Tm (0.1623, 0.6623, 0.0883)  1 Tb 2.98, 1 Ho 3.11
Tm (0.3377, 0.4260, 0.5000)  1 Tb 2.98, 1 Ho 3.11
Tm (0.4260, 0.9260, 0.0883)  1 Tb 2.98, 1 Ho 3.11
Tm (0.5000, 0.5000, 0.0000)  4 Tb 3.56, 2 La 3.69, 8 Tm 3.72
Tm (0.5740, 0.0740, 0.9117)  1 Tb 2.98, 1 Ho 3.11
Tm (0.6623, 0.5740, 0.5000)  1 Tb 2.98, 1 Ho 3.11
Tm (0.8377, 0.3377, 0.9117)  1 Tb 2.98, 1 Ho 3.11
Tm (0.9260, 0.8377, 0.5000)  1 Tb 2.98, 1 Ho 3.11

Entry 2:
The following is a GGA-PBE calculation of crystalline Rb2TiMo2 at its relaxed geometry, from Alexandria.

Computed properties:
The value obtained for the relative energy among the computed polymorphs is 0 meV per atom. The crystal system is tetragonal. The calculated volume comes out at 163.1 Å³/f.u. Its formation energy is 1.290 eV per atom.

Cell lengths 3.5164, 3.5164, 26.3771 Å; angles 90.00, 90.00, 90.00 degrees
Last column: nearest neighbours and their distance in Å.
Positions (direct):
Rb (0.0000, 0.0000, 0.1201)  4 Rb 3.52, 4 Mo 3.85
Rb (0.0000, 0.0000, 0.8799)  4 Rb 3.52, 4 Mo 3.85
Rb (0.5000, 0.5000, 0.3799)  4 Rb 3.52, 4 Mo 3.85
Rb (0.5000, 0.5000, 0.6201)  4 Rb 3.52, 4 Mo 3.85
Ti (0.0000, 0.0000, 0.5000)  4 Ti 3.52
Ti (0.5000, 0.5000, 0.0000)  4 Ti 3.52
Mo (0.0000, 0.5000, 0.2500)  4 Mo 2.49
Mo (0.0000, 0.5000, 0.7500)  4 Mo 2.49
Mo (0.5000, 0.0000, 0.2500)  4 Mo 2.49
Mo (0.5000, 0.0000, 0.7500)  4 Mo 2.49

Entry 3:
The following is a GGA-PBE calculation of crystalline AlIr2F at its relaxed geometry, from Alexandria.

Computed properties:
The value obtained for the relative energy among the computed polymorphs is 206 meV per atom. The crystal system is cubic. The calculated volume comes out at 53.0 Å³/f.u. The calculation puts the energy relative to the elements, uncorrected at -0.10 eV/atom.

Cell lengths 5.9625, 5.9625, 5.9625 Å; angles 90.00, 90.00, 90.00 degrees
Last column: nearest neighbours and their distance in Å.
Positions (direct):
Al (0.0000, 0.0000, 0.0000)  8 Ir 2.58
Al (0.0000, 0.5000, 0.5000)  8 Ir 2.58
Al (0.5000, 0.0000, 0.5000)  8 Ir 2.58
Al (0.5000, 0.5000, 0.0000)  8 Ir 2.58
Ir (0.2500, 0.2500, 0.2500)  4 F 2.58, 4 Al 2.58
Ir (0.2500, 0.2500, 0.7500)  4 F 2.58, 4 Al 2.58
Ir (0.2500, 0.7500, 0.2500)  4 F 2.58, 4 Al 2.58
Ir (0.2500, 0.7500, 0.7500)  4 F 2.58, 4 Al 2.58
Ir (0.7500, 0.2500, 0.2500)  4 F 2.58, 4 Al 2.58
Ir (0.7500, 0.2500, 0.7500)  4 F 2.58, 4 Al 2.58
Ir (0.7500, 0.7500, 0.2500)  4 F 2.58, 4 Al 2.58
Ir (0.7500, 0.7500, 0.7500)  4 F 2.58, 4 Al 2.58
F (0.0000, 0.0000, 0.5000)  8 Ir 2.58
F (0.0000, 0.5000, 0.0000)  8 Ir 2.58
F (0.5000, 0.0000, 0.0000)  8 Ir 2.58
F (0.5000, 0.5000, 0.5000)  8 Ir 2.58

> Which of these has the lowest calculated volume?

AlIr2F